Record 1
{
  "formula": "Ag3PdC",
  "functional": "PBEsol",
  "state": "optimized geometry",
  "cell": [[4.9464, 0.0000, 0.0000], [0.0000, 4.9464, 0.0000], [0.0000, 0.0000, 4.9464]],
  "species": ["Ag", "Ag", "Ag", "Pd", "C"],
  "frac_coords": [[0.0000, 0.0000, 0.5000], [0.0000, 0.5000, 0.0000], [0.5000, 0.0000, 0.0000], [0.0000, 0.0000, 0.0000], [0.5000, 0.5000, 0.5000]],
  "total_energy_ev_per_cell": -14.2,
  "n_ef_per_ev_atom": 0.833,
  "rho_g_cm3": 6.07,
  "crystal_system": "cubic",
  "e_form_mev_per_atom": 2263
}



Record 2
{
  "formula": "Ag3PtC",
  "functional": "PBEsol",
  "state": "optimized geometry",
  "cell": [[5.0007, 0.0000, 0.0000], [0.0000, 5.0007, 0.0000], [0.0000, 0.0000, 5.0007]],
  "species": ["Ag", "Ag", "Ag", "Pt", "C"],
  "frac_coords": [[0.0000, 0.0000, 0.5000], [0.0000, 0.5000, 0.0000], [0.5000, 0.0000, 0.0000], [0.0000, 0.0000, 0.0000], [0.5000, 0.5000, 0.5000]],
  "total_energy_ev_per_cell": -15.0,
  "n_ef_per_ev_atom": 1.265,
  "rho_g_cm3": 7.05,
  "crystal_system": "cubic",
  "e_form_mev_per_atom": 2317
}



Record 3
{
  "formula": "RbAgC3",
  "functional": "PBEsol",
  "state": "optimized geometry",
  "cell": [[4.4022, 0.0000, 0.0000], [0.0000, 4.4022, 0.0000], [0.0000, 0.0000, 4.4022]],
  "species": ["Rb", "Ag", "C", "C", "C"],
  "frac_coords": [[0.0000, 0.0000, 0.0000], [0.5000, 0.5000, 0.5000], [0.0000, 0.0000, 0.5000], [0.0000, 0.5000, 0.0000], [0.5000, 0.0000, 0.0000]],
  "total_energy_ev_per_cell": -11.3,
  "n_ef_per_ev_atom": 0.516,
  "rho_g_cm3": 4.46,
  "crystal_system": "cubic",
  "e_form_mev_per_atom": 4393
}



Record 4
{
  "formula": "RbZnAg2C",
  "functional": "PBEsol",
  "state": "optimized geometry",
  "cell": [[5.8089, 0.0000, 0.0000], [0.0000, 5.8089, 0.0000], [0.0000, 0.0000, 4.9919]],
  "species": ["Rb", "Zn", "Ag", "Ag", "C"],
  "frac_coords": [[0.0000, 0.0000, 0.0000], [0.5000, 0.5000, 0.5000], [0.0000, 0.5000, 0.0000], [0.5000, 0.0000, 0.0000], [0.0000, 0.0000, 0.5000]],
  "total_energy_ev_per_cell": -6.9,
  "n_ef_per_ev_atom": 0.512,
  "rho_g_cm3": 3.73,
  "crystal_system": "tetragonal",
  "e_form_mev_per_atom": 2400
}



Record 5
{
  "formula": "ReAgC3",
  "functional": "PBEsol",
  "state": "optimized geometry",
  "cell": [[3.9286, 0.0000, 0.0000], [0.0000, 3.9286, 0.0000], [0.0000, 0.0000, 3.9286]],
  "species": ["Re", "Ag", "C", "C", "C"],
  "frac_coords": [[0.0000, 0.0000, 0.0000], [0.5000, 0.5000, 0.5000], [0.0000, 0.5000, 0.5000], [0.5000, 0.0000, 0.5000], [0.5000, 0.5000, 0.0000]],
  "total_energy_ev_per_cell": -27.7,
  "n_ef_per_ev_atom": 0.660,
  "rho_g_cm3": 9.04,
  "crystal_system": "cubic",
  "e_form_mev_per_atom": 3583
}



Record 6
{
  "formula": "AgRuWC2",
  "functional": "PBEsol",
  "state": "optimized geometry",
  "cell": [[4.0391, 0.0000, 0.0000], [0.0000, 4.0391, 0.0000], [0.0000, 0.0000, 4.8019]],
  "species": ["Ag", "Ru", "W", "C", "C"],
  "frac_coords": [[0.0000, 0.0000, 0.0000], [0.5000, 0.5000, 0.0000], [0.5000, 0.5000, 0.5000], [0.0000, 0.5000, 0.5000], [0.5000, 0.0000, 0.5000]],
  "total_energy_ev_per_cell": -36.5,
  "n_ef_per_ev_atom": 1.127,
  "rho_g_cm3": 8.83,
  "crystal_system": "tetragonal",
  "e_form_mev_per_atom": 2006
}



Record 7
{
  "formula": "Ag2CS",
  "functional": "PBEsol",
  "state": "optimized geometry",
  "cell": [[0.0000, 3.0420, 3.0420], [3.0420, 0.0000, 3.0420], [3.0420, 3.0420, 0.0000]],
  "species": ["Ag", "Ag", "C", "S"],
  "frac_coords": [[0.2500, 0.2500, 0.2500], [0.7500, 0.7500, 0.7500], [0.0000, 0.0000, 0.0000], [0.5000, 0.5000, 0.5000]],
  "total_energy_ev_per_cell": -15.2,
  "raw_formation_energy_kcal_per_mol_atoms": 31.17,
  "n_ef_per_ev_atom": 0.488,
  "rho_g_cm3": 7.66,
  "crystal_system": "cubic"
}



Record 8
{
  "formula": "Ag3SbC",
  "functional": "PBEsol",
  "state": "optimized geometry",
  "cell": [[4.3910, 0.0000, 0.0000], [0.0000, 4.3910, 0.0000], [0.0000, 0.0000, 4.3910]],
  "species": ["Ag", "Ag", "Ag", "Sb", "C"],
  "frac_coords": [[0.0000, 0.0000, 0.5000], [0.0000, 0.5000, 0.0000], [0.5000, 0.0000, 0.0000], [0.5000, 0.5000, 0.5000], [0.0000, 0.0000, 0.0000]],
  "total_energy_ev_per_cell": -20.0,
  "raw_formation_energy_kcal_per_mol_atoms": 19.28,
  "n_ef_per_ev_atom": 0.676,
  "rho_g_cm3": 8.97,
  "crystal_system": "cubic"
}



Record 9
{
  "formula": "AgSbTe2C",
  "functional": "PBEsol",
  "state": "optimized geometry",
  "cell": [[4.7952, 0.0000, 0.0000], [0.0000, 4.7952, 0.0000], [0.0000, 0.0000, 4.6487]],
  "species": ["Ag", "Sb", "Te", "Te", "C"],
  "frac_coords": [[0.0000, 0.0000, 0.0000], [0.5000, 0.5000, 0.0000], [0.0000, 0.5000, 0.5000], [0.5000, 0.0000, 0.5000], [0.5000, 0.5000, 0.5000]],
  "total_energy_ev_per_cell": -19.7,
  "raw_formation_energy_kcal_per_mol_atoms": 22.66,
  "n_ef_per_ev_atom": 0.724,
  "rho_g_cm3": 7.72,
  "crystal_system": "tetragonal"
}



Record 10
{
  "formula": "Sc3AgC",
  "functional": "PBEsol",
  "state": "optimized geometry",
  "cell": [[-3.1885, 4.4039, 3.1625], [3.1885, -4.4039, 3.1625], [3.1885, 4.4039, -3.1625]],
  "species": ["Sc", "Sc", "Sc", "Sc", "Sc", "Sc", "Ag", "Ag", "C", "C"],
  "frac_coords": [[0.2141, 0.0000, 0.7141], [0.2141, 0.5000, 0.2141], [0.3208, 0.0708, 0.2500], [0.6792, 0.9292, 0.7500], [0.7859, 0.0000, 0.2859], [0.7859, 0.5000, 0.7859], [0.2439, 0.4939, 0.7500], [0.7561, 0.5061, 0.2500], [0.0000, 0.0000, 0.0000], [0.5000, 0.0000, 0.5000]],
  "total_energy_ev_per_cell": -69.8,
  "n_ef_per_ev_atom": 1.234,
  "rho_g_cm3": 4.76,
  "crystal_system": "orthorhombic",
  "e_form_mev_per_atom": -426
}



Record 11
{
  "formula": "SiAg3C",
  "functional": "PBEsol",
  "state": "optimized geometry",
  "cell": [[4.6638, 0.0000, 0.0000], [0.0000, 4.6638, 0.0000], [0.0000, 0.0000, 4.6638]],
  "species": ["Si", "Ag", "Ag", "Ag", "C"],
  "frac_coords": [[0.0000, 0.0000, 0.0000], [0.0000, 0.0000, 0.5000], [0.0000, 0.5000, 0.0000], [0.5000, 0.0000, 0.0000], [0.5000, 0.5000, 0.5000]],
  "total_energy_ev_per_cell": -16.2,
  "raw_formation_energy_kcal_per_mol_atoms": 41.98,
  "n_ef_per_ev_atom": 0.720,
  "rho_g_cm3": 5.95,
  "crystal_system": "cubic"
}



Record 12
{
  "formula": "Si3AgC",
  "functional": "PBEsol",
  "state": "optimized geometry",
  "cell": [[4.0503, 0.0000, 0.0000], [0.0000, 4.0503, 0.0000], [0.0000, 0.0000, 4.0503]],
  "species": ["Si", "Si", "Si", "Ag", "C"],
  "frac_coords": [[0.0000, 0.0000, 0.5000], [0.0000, 0.5000, 0.0000], [0.5000, 0.0000, 0.0000], [0.5000, 0.5000, 0.5000], [0.0000, 0.0000, 0.0000]],
  "total_energy_ev_per_cell": -26.3,
  "raw_formation_energy_kcal_per_mol_atoms": 18.13,
  "n_ef_per_ev_atom": 0.317,
  "rho_g_cm3": 5.10,
  "crystal_system": "cubic"
}